Computed, not measured: a relaxed structure of BaMgGeS4 at the GGA-PBE level of DFT.

```
14
Lattice="6.244 0.000 0.000 0.000 6.941 0.000 -2.172 0.000 8.162" Properties=species:S:1:pos:R:3 pbc="T T T"
Ba 1.338 1.735 0.465
Ba 2.735 5.206 7.697
Mg -0.150 1.735 4.181
Mg 4.222 5.206 3.982
Ge 0.791 5.206 2.606
Ge 3.281 1.735 5.556
S -1.425 0.072 5.783
S -1.425 3.398 5.783
S 1.900 5.206 0.696
S 1.826 5.206 4.535
S 2.246 1.735 3.627
S 2.173 1.735 7.466
S 5.497 3.543 2.380
S 5.497 6.869 2.380
```

Calculated values
**E_form (uncorrected)**: -8.026 eV/f.u.
**SG**: P2_1/m, No. 11

***

Computed, not measured: a relaxed structure of SiIrI2O at the GGA-PBE level of DFT.

```
5
Lattice="5.365 0.000 0.000 0.000 5.365 0.000 0.000 0.000 3.383" Properties=species:S:1:pos:R:3 pbc="T T T"
Si 0.000 0.000 0.000
Ir 2.682 2.682 1.692
I 0.000 2.682 0.000
I 2.682 0.000 0.000
O 0.000 0.000 1.692
```

Calculated values
**E above lowest polymorph**: 0.0 kJ/mol of atoms
**E_form (uncorrected)**: 1.458 eV/f.u.
**SG**: P4/mmm, No. 123

***

Computed, not measured: a relaxed structure of KSc2PPt at the GGA-PBE level of DFT.

```
5
Lattice="4.719 0.000 0.000 0.000 4.719 0.000 0.000 0.000 4.943" Properties=species:S:1:pos:R:3 pbc="T T T"
K 0.000 0.000 0.000
Sc 0.000 2.360 0.000
Sc 2.360 0.000 0.000
P 0.000 0.000 2.471
Pt 2.360 2.360 2.471
```

Calculated values
**SG**: P4/mmm, No. 123
**Formation enthalpy at 0 K**: 1.470 eV per atom

***

Computed, not measured: a relaxed structure of SrOsRu2 at the GGA-PBE level of DFT.

```
4
Lattice="0.000 3.261 3.261 3.261 0.000 3.261 3.261 3.261 0.000" Properties=species:S:1:pos:R:3 pbc="T T T"
Sr 0.000 0.000 0.000
Os 3.261 3.261 3.261
Ru 1.630 1.630 1.630
Ru 4.891 4.891 4.891
```

Calculated values
**E above lowest polymorph**: 37.9 kJ/mol of atoms
**SG**: Fm-3m, No. 225
**Formation enthalpy at 0 K**: 0.933 eV per atom

***

Computed, not measured: a relaxed structure of KSr2InPd at the GGA-PBE level of DFT.

```
5
Lattice="6.469 0.000 0.000 0.000 6.469 0.000 0.000 0.000 5.145" Properties=species:S:1:pos:R:3 pbc="T T T"
K 0.000 0.000 0.000
Sr 0.000 3.235 2.572
Sr 3.235 0.000 2.572
In 3.235 3.235 2.572
Pd 3.235 3.235 0.000
```

Calculated values
**E above lowest polymorph**: 28.4 kJ/mol of atoms
**SG**: P4/mmm, No. 123
**Formation enthalpy at 0 K**: 0.008 eV per atom

***

Computed, not measured: a relaxed structure of Tc2IrOs at the GGA-PBE level of DFT.

```
4
Lattice="0.000 3.096 3.096 3.096 0.000 3.096 3.096 3.096 0.000" Properties=species:S:1:pos:R:3 pbc="T T T"
Tc 1.548 1.548 1.548
Tc 4.645 4.645 4.645
Ir 0.000 0.000 0.000
Os 3.096 3.096 3.096
```

Calculated values
**E above lowest polymorph**: 65.9 kJ/mol of atoms
**SG**: Fm-3m, No. 225
**Formation enthalpy at 0 K**: 0.494 eV per atom

***

no.,calculated total energy (eV per atom),calculated density (g cm⁻³)
1,-4.667,3.40
2,-4.177,8.36
3,-3.572,5.36
4,-6.933,11.50
5,-2.471,3.36
6,-9.711,16.18